An optimized crystal structure of LaCr3B4O12, computed with PBE+U.

Lattice parameters (Å, degrees): 6.1440 6.1440 6.1440 103.68 103.68 103.68
Last column: nearest neighbours and their distance in Å.
Positions (direct):
La1 0.0000 0.0000 0.0000  6 O 2.45
Cr1 0.0000 0.5554 0.4446  6 O 1.98-2.06
Cr2 0.4446 0.0000 0.5554  6 O 1.98-2.06
Cr3 0.5554 0.4446 0.0000  6 O 1.98-2.06
B1 0.0579 0.5000 0.9421  3 O 1.37-1.40
B2 0.5000 0.5000 0.5000  3 O 1.39
B3 0.5000 0.9421 0.0579  3 O 1.37-1.40
B4 0.9421 0.0579 0.5000  3 O 1.37-1.40
O1 0.0298 0.6237 0.7840  1 B 1.37
O2 0.0871 0.9129 0.5000  1 B 1.40
O3 0.2160 0.3763 0.9702  1 B 1.37
O4 0.3559 0.6441 0.5000  1 B 1.39
O5 0.3763 0.9702 0.2160  1 B 1.37
O6 0.5000 0.0871 0.9129  1 B 1.40
O7 0.5000 0.3559 0.6441  1 B 1.39
O8 0.6237 0.7840 0.0298  1 B 1.37
O9 0.6441 0.5000 0.3559  1 B 1.39
O10 0.7840 0.0298 0.6237  1 B 1.37
O11 0.9129 0.5000 0.0871  1 B 1.40
O12 0.9702 0.2160 0.3763  1 B 1.37

Summary:
SG: R32, No. 155
DFT total energy, eV per atom: -8.12
Total magnetization, Bohr magnetons per cell: 8.99